Record 1
This record from Alexandria describes ThPaGeAs after structural relaxation. The functional is PBE.

As for the calculated formation energy: -0.92 eV per atom. The spin magnetization is 0.0 μB/cell. For the volume, the calculation gives 314 Å³/cell.

a = 4.2073 Å, b = 4.2073 Å, c = 20.4702 Å
α = 90.00°, β = 90.00°, γ = 120.00°
Last column: nearest neighbours and their distance in Å.
Space group R3m (No. 160, hexagonal axes)
Asymmetric unit:
Th1 0.0000 0.0000 0.0000 x3  3 Ge 3.03, 3 As 3.03
Pa1 0.0000 0.0000 0.4994 x3  3 Ge 2.91, 3 As 2.92
Ge1 0.0000 0.0000 0.7548 x3  3 Pa 2.91, 3 Th 3.03
As1 0.0000 0.0000 0.2452 x3  3 Pa 2.92, 3 Th 3.03

***

Record 2
This record from Alexandria describes TmPaGeAs after structural relaxation. The functional is PBE.

As for the calculated formation energy: -0.95 eV per atom. The spin magnetization is 0.0 μB/cell. For the volume, the calculation gives 292 Å³/cell.

a = 4.1256 Å, b = 4.1256 Å, c = 19.7794 Å
α = 90.00°, β = 90.00°, γ = 120.00°
Last column: nearest neighbours and their distance in Å.
Space group R3m (No. 160, hexagonal axes)
Asymmetric unit:
Tm1 0.0000 0.0000 0.0000 x3  3 As 2.90, 3 Ge 2.90
Pa1 0.0000 0.0000 0.5014 x3  3 Ge 2.88, 3 As 2.91
Ge1 0.0000 0.0000 0.2496 x3  3 Pa 2.88, 3 Tm 2.90
As1 0.0000 0.0000 0.7503 x3  3 Tm 2.90, 3 Pa 2.91

***

Record 3
This record from Alexandria describes Ge3AsPb after structural relaxation. The functional is PBE.

As for the calculated formation energy: 1.20 eV per atom. The spin magnetization is 0.0 μB/cell. For the volume, the calculation gives 156 Å³/cell. The value obtained for the energy relative to the lowest polymorph listed for this composition is 637 meV per atom.

a = 5.3885 Å, b = 5.3885 Å, c = 5.3885 Å
α = 90.00°, β = 90.00°, γ = 90.00°
Last column: nearest neighbours and their distance in Å.
Space group Pm-3m (No. 221)
Asymmetric unit:
Ge1 0.0000 0.0000 0.5000 x3  2 Pb 2.69
As1 0.5000 0.5000 0.5000 x1  12 Ge 3.81
Pb1 0.0000 0.0000 0.0000 x1  6 Ge 2.69

***

Record 4
This record from Alexandria describes GeAsPb after structural relaxation. The functional is PBE.

As for the calculated formation energy: 0.16 eV per atom. The spin magnetization is 0.0 μB/cell. For the volume, the calculation gives 222 Å³/cell. The value obtained for the energy relative to the lowest polymorph listed for this composition is 90 meV per atom.

a = 6.4778 Å, b = 6.4778 Å, c = 6.1036 Å
α = 90.00°, β = 90.00°, γ = 120.00°
Last column: nearest neighbours and their distance in Å.
Space group P3_221 (No. 154)
Asymmetric unit:
Ge1 0.0000 0.1982 0.3333 x3  3 As 2.73-2.95, 2 Ge 3.01
As1 0.0000 0.6191 0.3333 x3  3 Ge 2.73-2.95, 2 Pb 2.97
Pb1 0.0000 0.4669 0.8333 x3  4 As 2.97-3.21, 2 Ge 3.19

***

Record 5
This record from Alexandria describes Ge3As5Pb12 after structural relaxation. The functional is PBE.

As for the calculated formation energy: 0.18 eV per atom. The spin magnetization is 0.0 μB/cell. For the volume, the calculation gives 5360 Å³/cell.

a = 17.5012 Å, b = 17.5012 Å, c = 17.5012 Å
α = 90.00°, β = 90.00°, γ = 90.00°
Last column: nearest neighbours and their distance in Å.
Space group Ia-3d (No. 230)
Asymmetric unit:
Ge1 0.0000 0.2500 0.1250 x24  8 Pb 3.15-3.24
As1 0.0000 0.0000 0.0000 x16  6 Pb 2.98
As2 0.0000 0.2500 0.3750 x24  4 Pb 2.83
Pb1 0.0126 0.0680 0.6554 x96  2 As 2.83-2.98, 1 Ge 3.15

***

Record 6
This record from Alexandria describes Ge2AsPb after structural relaxation. The functional is PBE.

As for the calculated formation energy: 0.23 eV per atom. The spin magnetization is 0.0 μB/cell. For the volume, the calculation gives 482 Å³/cell. The value obtained for the energy relative to the lowest polymorph listed for this composition is 0 meV per atom.

a = 6.3040 Å, b = 6.3040 Å, c = 12.1340 Å
α = 90.00°, β = 90.00°, γ = 90.00°
Last column: nearest neighbours and their distance in Å.
Space group I-42d (No. 122)
Asymmetric unit:
Ge1 0.2155 0.2500 0.1250 x8  2 As 2.57, 2 Pb 2.83
As1 0.0000 0.0000 0.0000 x4  4 Ge 2.57
Pb1 0.0000 0.0000 0.5000 x4  4 Ge 2.83

***

Record 7
This record from Alexandria describes GeAs2Pb after structural relaxation. The functional is PBE.

As for the calculated formation energy: 0.09 eV per atom. The spin magnetization is 0.0 μB/cell. For the volume, the calculation gives 436 Å³/cell. The value obtained for the energy relative to the lowest polymorph listed for this composition is 67 meV per atom.

a = 7.0752 Å, b = 7.0752 Å, c = 8.7035 Å
α = 90.00°, β = 90.00°, γ = 90.00°
Last column: nearest neighbours and their distance in Å.
Space group I-42d (No. 122)
Asymmetric unit:
Ge1 0.0000 0.0000 0.0000 x4  4 As 2.46
As1 0.1867 0.2500 0.1250 x8  2 Ge 2.46
Pb1 0.0000 0.0000 0.5000 x4  4 As 3.04

***

Record 8
This record from Alexandria describes GeAs3Pb after structural relaxation. The functional is PBE.

As for the calculated formation energy: 0.53 eV per atom. The spin magnetization is 0.0 μB/cell. For the volume, the calculation gives 126 Å³/cell. The value obtained for the energy relative to the lowest polymorph listed for this composition is 0 meV per atom.

a = 5.0101 Å, b = 5.0101 Å, c = 5.0101 Å
α = 90.00°, β = 90.00°, γ = 90.00°
Last column: nearest neighbours and their distance in Å.
Space group Pm-3m (No. 221)
Asymmetric unit:
Ge1 0.0000 0.0000 0.0000 x1  6 As 2.51
As1 0.0000 0.0000 0.5000 x3  2 Ge 2.51
Pb1 0.5000 0.5000 0.5000 x1  12 As 3.54

***

Record 9
This record from Alexandria describes Ge2AsPb after structural relaxation. The functional is PBE.

As for the calculated formation energy: 0.36 eV per atom. The spin magnetization is 0.0 μB/cell. For the volume, the calculation gives 357 Å³/cell. The value obtained for the energy relative to the lowest polymorph listed for this composition is 124 meV per atom.

a = 7.0964 Å, b = 7.0964 Å, c = 7.0964 Å
α = 90.00°, β = 90.00°, γ = 90.00°
Last column: nearest neighbours and their distance in Å.
Space group Fm-3m (No. 225)
Asymmetric unit:
Ge1 0.2500 0.2500 0.2500 x8  4 As 3.07, 4 Pb 3.07
As1 0.0000 0.0000 0.0000 x4  8 Ge 3.07
Pb1 0.0000 0.0000 0.5000 x4  8 Ge 3.07

***

Record 10
This record from Alexandria describes GeAsPb2 after structural relaxation. The functional is PBE.

As for the calculated formation energy: 0.24 eV per atom. The spin magnetization is 0.0 μB/cell. For the volume, the calculation gives 407 Å³/cell. The value obtained for the energy relative to the lowest polymorph listed for this composition is 11 meV per atom.

a = 7.4102 Å, b = 7.4102 Å, c = 7.4102 Å
α = 90.00°, β = 90.00°, γ = 90.00°
Last column: nearest neighbours and their distance in Å.
Space group Fm-3m (No. 225)
Asymmetric unit:
Ge1 0.0000 0.0000 0.0000 x4  8 Pb 3.21
As1 0.0000 0.0000 0.5000 x4  8 Pb 3.21
Pb1 0.2500 0.2500 0.2500 x8  4 As 3.21, 4 Ge 3.21

***

Record 11
This record from Alexandria describes Ge3AsPb after structural relaxation. The functional is PBE.

As for the calculated formation energy: 0.56 eV per atom. The spin magnetization is 0.0 μB/cell. For the volume, the calculation gives 132 Å³/cell. The value obtained for the energy relative to the lowest polymorph listed for this composition is 0 meV per atom.

a = 5.0872 Å, b = 5.0872 Å, c = 5.0872 Å
α = 90.00°, β = 90.00°, γ = 90.00°
Last column: nearest neighbours and their distance in Å.
Space group Pm-3m (No. 221)
Asymmetric unit:
Ge1 0.0000 0.0000 0.5000 x3  2 As 2.54
As1 0.0000 0.0000 0.0000 x1  6 Ge 2.54
Pb1 0.5000 0.5000 0.5000 x1  12 Ge 3.60

***

Record 12
This record from Alexandria describes GeAsPb after structural relaxation. The functional is PBE.

As for the calculated formation energy: 0.07 eV per atom. The spin magnetization is 0.0 μB/cell. For the volume, the calculation gives 76 Å³/cell. The value obtained for the energy relative to the lowest polymorph listed for this composition is 0 meV per atom.

a = 3.8236 Å, b = 3.8236 Å, c = 5.9829 Å
α = 90.00°, β = 90.00°, γ = 120.00°
Last column: nearest neighbours and their distance in Å.
Space group P3m1 (No. 156)
Asymmetric unit:
Ge1 0.0000 0.0000 0.0000 x1  3 As 2.57
As1 0.6667 0.3333 0.2190 x1  3 Ge 2.57
Pb1 0.3333 0.6667 0.6015 x1  3 As 3.18, 3 Ge 3.25

***

Record 13
This record from Alexandria describes GeAs2Pb after structural relaxation. The functional is PBE.

As for the calculated formation energy: 0.02 eV per atom. The spin magnetization is 0.0 μB/cell. For the volume, the calculation gives 446 Å³/cell. The value obtained for the energy relative to the lowest polymorph listed for this composition is 0 meV per atom.

a = 6.6067 Å, b = 10.3489 Å, c = 6.5158 Å
α = 90.00°, β = 90.00°, γ = 90.00°
Last column: nearest neighbours and their distance in Å.
Space group Pna2_1 (No. 33)
Asymmetric unit:
Ge1 0.0588 0.1261 0.0000 x4  4 As 2.48-2.49
As1 0.0262 0.0950 0.6222 x4  2 Ge 2.49
As2 0.0799 0.6568 0.5883 x4  2 Ge 2.48-2.49
Pb1 0.0436 0.6229 0.0324 x4  4 As 2.92-3.03

***

Record 14
This record from Alexandria describes GeAsPb3 after structural relaxation. The functional is PBE.

As for the calculated formation energy: 0.57 eV per atom. The spin magnetization is 0.0 μB/cell. For the volume, the calculation gives 166 Å³/cell. The value obtained for the energy relative to the lowest polymorph listed for this composition is 0 meV per atom.

a = 5.4982 Å, b = 5.4982 Å, c = 5.4982 Å
α = 90.00°, β = 90.00°, γ = 90.00°
Last column: nearest neighbours and their distance in Å.
Space group Pm-3m (No. 221)
Asymmetric unit:
Ge1 0.0000 0.0000 0.0000 x1  6 Pb 2.75
As1 0.5000 0.5000 0.5000 x1  12 Pb 3.89
Pb1 0.0000 0.0000 0.5000 x3  2 Ge 2.75

***

Record 15
This record from Alexandria describes GeAs2Pb after structural relaxation. The functional is PBE.

As for the calculated formation energy: 0.03 eV per atom. The spin magnetization is 0.0 μB/cell. For the volume, the calculation gives 1764 Å³/cell. The value obtained for the energy relative to the lowest polymorph listed for this composition is 9 meV per atom.

a = 10.8958 Å, b = 11.0933 Å, c = 14.7909 Å
α = 90.00°, β = 99.35°, γ = 90.00°
Last column: nearest neighbours and their distance in Å.
Space group C2/c (No. 15)
Asymmetric unit:
Ge1 0.1117 0.1745 0.1588 x8  4 As 2.45-2.50
Ge2 0.1390 0.4264 0.3382 x8  4 As 2.50-2.51
As1 0.0000 0.0425 0.2500 x4  2 Ge 2.45
As2 0.0000 0.4205 0.7500 x4  2 Ge 2.50
As3 0.0077 0.3297 0.4416 x8  2 Ge 2.50
As4 0.1869 0.0228 0.0560 x8  2 Ge 2.49-2.50
As5 0.2299 0.1897 0.7558 x8  2 Ge 2.48-2.51
Pb1 0.0127 0.1644 0.6058 x8  4 As 2.98-3.15
Pb2 0.1934 0.4847 0.6191 x8  4 As 2.96-3.17

***

Record 16
This record from Alexandria describes GeAsPb2 after structural relaxation. The functional is PBE.

As for the calculated formation energy: 0.23 eV per atom. The spin magnetization is 0.0 μB/cell. For the volume, the calculation gives 562 Å³/cell. The value obtained for the energy relative to the lowest polymorph listed for this composition is 0 meV per atom.

a = 6.5227 Å, b = 6.5227 Å, c = 13.2108 Å
α = 90.00°, β = 90.00°, γ = 90.00°
Last column: nearest neighbours and their distance in Å.
Space group I-42d (No. 122)
Asymmetric unit:
Ge1 0.0000 0.0000 0.0000 x4  4 Pb 2.82
As1 0.0000 0.0000 0.5000 x4  4 Pb 2.85
Pb1 0.2462 0.2500 0.1250 x8  2 Ge 2.82, 2 As 2.85

***

Record 17
This record from Alexandria describes GeAsPb after structural relaxation. The functional is PBE.

As for the calculated formation energy: 0.14 eV per atom. The spin magnetization is 0.0 μB/cell. For the volume, the calculation gives 141 Å³/cell. The value obtained for the energy relative to the lowest polymorph listed for this composition is 75 meV per atom.

a = 3.5188 Å, b = 3.5188 Å, c = 11.3757 Å
α = 90.00°, β = 90.00°, γ = 90.00°
Last column: nearest neighbours and their distance in Å.
Space group I4mm (No. 107)
Asymmetric unit:
Ge1 0.0000 0.0000 0.0000 x2  4 As 2.76
As1 0.0000 0.0000 0.3946 x2  4 Ge 2.76
Pb1 0.0000 0.0000 0.6929 x2  5 Ge 3.32-3.49, 5 As 3.38-3.39, 4 Pb 3.52

***

Record 18
This record from Alexandria describes GeAs3Pb after structural relaxation. The functional is PBE.

As for the calculated formation energy: 1.21 eV per atom. The spin magnetization is 0.0 μB/cell. For the volume, the calculation gives 154 Å³/cell. The value obtained for the energy relative to the lowest polymorph listed for this composition is 685 meV per atom.

a = 5.3659 Å, b = 5.3659 Å, c = 5.3659 Å
α = 90.00°, β = 90.00°, γ = 90.00°
Last column: nearest neighbours and their distance in Å.
Space group Pm-3m (No. 221)
Asymmetric unit:
Ge1 0.0000 0.0000 0.0000 x1  12 As 3.79
As1 0.0000 0.5000 0.5000 x3  2 Pb 2.68
Pb1 0.5000 0.5000 0.5000 x1  6 As 2.68

***

Record 19
This record from Alexandria describes GeAs2Pb after structural relaxation. The functional is PBE.

As for the calculated formation energy: 0.11 eV per atom. The spin magnetization is 0.0 μB/cell. For the volume, the calculation gives 282 Å³/cell. The value obtained for the energy relative to the lowest polymorph listed for this composition is 93 meV per atom.

a = 3.8870 Å, b = 3.8870 Å, c = 21.5772 Å
α = 90.00°, β = 90.00°, γ = 120.00°
Last column: nearest neighbours and their distance in Å.
Space group R3m (No. 160, hexagonal axes)
Asymmetric unit:
Ge1 0.0000 0.0000 0.0000 x3  6 As 2.66-2.74
As1 0.0000 0.0000 0.3992 x3  3 Ge 2.66
As2 0.0000 0.0000 0.5941 x3  3 Ge 2.74, 3 Pb 3.05
Pb1 0.0000 0.0000 0.8319 x3  6 As 3.05-3.10

***

Record 20
This record from Alexandria describes GeAs2Pb after structural relaxation. The functional is PBE.

As for the calculated formation energy: 0.09 eV per atom. The spin magnetization is 0.0 μB/cell. For the volume, the calculation gives 280 Å³/cell. The value obtained for the energy relative to the lowest polymorph listed for this composition is 73 meV per atom.

a = 3.9798 Å, b = 3.9798 Å, c = 20.4339 Å
α = 90.00°, β = 90.00°, γ = 120.00°
Last column: nearest neighbours and their distance in Å.
Space group R-3m (No. 166, hexagonal axes)
Asymmetric unit:
Ge1 0.0000 0.0000 0.0000 x3  6 As 2.71
As1 0.0000 0.0000 0.2630 x6  3 Ge 2.71, 3 Pb 3.03
Pb1 0.0000 0.0000 0.5000 x3  6 As 3.03

***

Record 21
This record from Alexandria describes GeAs2Pb after structural relaxation. The functional is PBE.

As for the calculated formation energy: 0.33 eV per atom. The spin magnetization is 0.0 μB/cell. For the volume, the calculation gives 358 Å³/cell. The value obtained for the energy relative to the lowest polymorph listed for this composition is 312 meV per atom.

a = 7.0994 Å, b = 7.0994 Å, c = 7.0994 Å
α = 90.00°, β = 90.00°, γ = 90.00°
Last column: nearest neighbours and their distance in Å.
Space group Fm-3m (No. 225)
Asymmetric unit:
Ge1 0.0000 0.0000 0.0000 x4  8 As 3.07
As1 0.2500 0.2500 0.2500 x8  4 Pb 3.07, 4 Ge 3.07
Pb1 0.0000 0.0000 0.5000 x4  8 As 3.07

***

Record 22
This record from Alexandria describes GeAsPd6Pb2 after structural relaxation. The functional is PBE.

As for the calculated formation energy: -0.25 eV per atom. The spin magnetization is 0.0 μB/cell. For the volume, the calculation gives 202 Å³/cell.

a = 5.8018 Å, b = 6.7359 Å, c = 6.7989 Å
α = 97.14°, β = 115.03°, γ = 115.14°
Last column: nearest neighbours and their distance in Å.
Space group P-1 (No. 2)
Asymmetric unit:
Ge1 0.0000 0.0000 0.0000 x1  6 Pd 2.48-2.53
As1 0.0000 0.5000 0.5000 x1  6 Pd 2.46-2.56
Pd1 0.0048 0.1489 0.3546 x2  1 As 2.46, 1 Ge 2.48
Pd2 0.0271 0.2806 0.7824 x2  1 Ge 2.53, 1 As 2.56, 2 Pd 2.83-2.84
Pd3 0.4995 0.1506 0.3525 x2  1 As 2.47, 1 Ge 2.49
Pb1 0.4479 0.7022 0.1869 x2  7 Pd 2.84-3.01